Entry 1:
! CaMg2Zn (PBE, relaxed); values from VASP
! Calculated volume ... 24.21 A^3/atom
! Raw total energy ... -1.73 eV per atom
&SYSTEM
  ibrav = 0, nat = 8, ntyp = 3
/
ATOMIC_SPECIES
Ca 40.08 Ca.upf
Mg 24.30 Mg.upf
Zn 65.41 Zn.upf
CELL_PARAMETERS angstrom
-2.425 2.425 8.234
2.425 -2.425 8.234
2.425 2.425 -8.234
ATOMIC_POSITIONS crystal
Ca 0.143 0.143 0.000
Ca 0.857 0.857 0.000
Mg 0.000 0.500 0.500
Mg 0.356 0.356 0.000
Mg 0.500 0.000 0.500
Mg 0.644 0.644 0.000
Zn 0.250 0.750 0.500
Zn 0.750 0.250 0.500



Entry 2:
! CaMg4Zn2 (PBE, relaxed); values from VASP
! Calculated volume ... 23.24 A^3/atom
! Excess energy over the best structure of this formula in the dataset ... 0.100 eV per atom
&SYSTEM
  ibrav = 0, nat = 14, ntyp = 3
/
ATOMIC_SPECIES
Ca 40.08 Ca.upf
Mg 24.30 Mg.upf
Zn 65.41 Zn.upf
CELL_PARAMETERS angstrom
-4.353 4.353 4.292
4.353 -4.353 4.292
4.353 4.353 -4.292
ATOMIC_POSITIONS crystal
Ca 0.250 0.250 0.000
Ca 0.750 0.750 0.000
Mg 0.018 0.518 0.211
Mg 0.193 0.982 0.500
Mg 0.307 0.807 0.789
Mg 0.482 0.693 0.500
Mg 0.518 0.307 0.500
Mg 0.693 0.193 0.211
Mg 0.807 0.018 0.500
Mg 0.982 0.482 0.789
Zn 0.154 0.346 0.500
Zn 0.346 0.846 0.192
Zn 0.654 0.154 0.808
Zn 0.846 0.654 0.500